# PBE-GGA Na2NbNiP, relaxed
# M_tot	1.93	μB per formula unit
# ΔH_f (0 K)	1.534	eV/atom
data_Na2NbNiP
_space_group_name_H-M_alt 'P 4/m m m'
_space_group_IT_number 123
_space_group_name_Hall '-P 4 2'
_cell_length_a 5.752
_cell_length_b 5.752
_cell_length_c 4.477
_cell_angle_alpha 90.00
_cell_angle_beta 90.00
_cell_angle_gamma 90.00
loop_
_atom_site_label
_atom_site_type_symbol
_atom_site_fract_x
_atom_site_fract_y
_atom_site_fract_z
Na1 Na 0.000 0.500 0.000
Nb1 Nb 0.000 0.000 0.000
Ni1 Ni 0.000 0.000 0.500
P1 P 0.500 0.500 0.500